Zr2CuTe: optimized geometry, GGA-PBEsol.

## Properties
E_tot ... -0.252 hartree per atom
Uncorrected formation energy ... -1.40 eV per formula unit

Lattice parameters (Å, degrees): 5.101 5.101 5.101 132.85 125.95 74.51
Fractional positions:
Zr (0.244, 0.244, 0.000)
Zr (0.756, 0.756, 0.000)
Cu (0.000, 0.500, 0.500)
Te (0.500, 0.000, 0.500)